A geometry-optimized Hg2Pb2N structure. Source: Alexandria, functional PBE.

Summary:
Its distance to the lowest polymorph of the same formula is 0.000 eV per atom. As for the density of states at the Fermi level: 0.485 states/eV/atom. For the calculated density, the calculation gives 11.28 g cm⁻³. The value obtained for the total energy is -2.4942 eV per atom.

Unit cell a=6.4592 b=6.4592 c=5.8538 alpha=90.00 beta=90.00 gamma=90.00
With the nearest neighbours (Å) after each atom.
Atoms (fractional coordinates):
Pb 0.6824 0.8176 0.5000  2 Hg 3.24, 5 Pb 3.33-3.35
Hg 0.6648 0.1648 0.0000  2 N 2.41
Pb 0.1824 0.6824 0.5000  2 Hg 3.24, 5 Pb 3.33-3.35
Hg 0.3352 0.8352 0.0000  2 N 2.41
Pb 0.3176 0.1824 0.5000  2 Hg 3.24, 5 Pb 3.33-3.35
N 0.5000 0.5000 0.0000  4 Hg 2.41
Pb 0.8176 0.3176 0.5000  2 Hg 3.24, 5 Pb 3.33-3.35
Hg 0.8352 0.6648 0.0000  2 N 2.41
N 0.0000 0.0000 0.0000  4 Hg 2.41
Hg 0.1648 0.3352 0.0000  2 N 2.41